Entry w
A geometry-optimized CsK3Hg structure, computed with PBE.

Cell lengths 8.4441, 8.4441, 8.4441 Å; angles 90.00, 90.00, 90.00 degrees
Positions (direct):
Cs 0.0000 0.0000 0.0000
K 0.0000 0.0000 0.5000
K 0.0000 0.5000 0.0000
K 0.5000 0.0000 0.0000
Hg 0.5000 0.5000 0.5000

Values from the calculation:
**Space-group type**: Pm-3m

Entry x
A geometry-optimized CsK3Hg structure, computed with PBE.

Cell lengths 6.9923, 6.9923, 6.9923 Å; angles 90.00, 90.00, 90.00 degrees
Positions (direct):
Cs 0.0000 0.0000 0.0000
K 0.0000 0.5000 0.5000
K 0.5000 0.0000 0.5000
K 0.5000 0.5000 0.0000
Hg 0.5000 0.5000 0.5000

Values from the calculation:
**Space-group type**: Pm-3m

Entry y
A geometry-optimized CsK3Hg structure, computed with PBE.

Cell lengths 11.6418, 11.6418, 10.6157 Å; angles 110.10, 110.10, 27.90 degrees
Positions (direct):
Cs 0.0410 0.0410 0.2455
Cs 0.9590 0.9590 0.7545
K 0.1753 0.1753 0.9944
K 0.2786 0.2786 0.6731
K 0.3891 0.3891 0.3440
K 0.6109 0.6109 0.6560
K 0.7214 0.7214 0.3269
K 0.8247 0.8247 0.0056
Hg 0.4305 0.4305 0.0025
Hg 0.5695 0.5695 0.9975

Values from the calculation:
**Space-group type**: C2/m

Energy ordering: entry y at the bottom, the next structure 0.012 eV/atom above.

Entry w
A geometry-optimized CsKHg3 structure, computed with PBE.

Cell lengths 16.5702, 16.5702, 5.3249 Å; angles 90.00, 90.00, 163.54 degrees
Positions (direct):
Cs 0.2038 0.7962 0.7500
Cs 0.7962 0.2038 0.2500
K 0.0667 0.9333 0.2500
K 0.9333 0.0667 0.7500
Hg 0.3367 0.6633 0.7500
Hg 0.3855 0.6145 0.2500
Hg 0.4774 0.5226 0.2500
Hg 0.5226 0.4774 0.7500
Hg 0.6145 0.3855 0.7500
Hg 0.6633 0.3367 0.2500

Values from the calculation:
**Space-group type**: Cmcm

Entry x
A geometry-optimized CsKHg3 structure, computed with PBE.

Cell lengths 6.8469, 8.2829, 7.3904 Å; angles 90.00, 101.96, 90.00 degrees
Positions (direct):
Cs 0.2067 0.2500 0.2153
Cs 0.7933 0.7500 0.7847
K 0.1930 0.7500 0.4058
K 0.8070 0.2500 0.5942
Hg 0.3238 0.0626 0.7357
Hg 0.3238 0.4374 0.7357
Hg 0.3368 0.7500 0.9718
Hg 0.6632 0.2500 0.0282
Hg 0.6762 0.5626 0.2643
Hg 0.6762 0.9374 0.2643

Values from the calculation:
**Space-group type**: P2_1/m

Energy ordering: entry w at the bottom, the next structure 0.015 eV/atom above.

Entry w
A geometry-optimized CsKHg3 structure, computed with PBE.

Cell lengths 6.7642, 6.7642, 6.7642 Å; angles 90.00, 90.00, 90.00 degrees
Positions (direct):
Cs 0.0000 0.0000 0.0000
K 0.5000 0.5000 0.5000
Hg 0.0000 0.0000 0.5000
Hg 0.0000 0.5000 0.0000
Hg 0.5000 0.0000 0.0000

Values from the calculation:
**Space-group type**: Pm-3m

Entry x
A geometry-optimized CsKHg3 structure, computed with PBE.

Cell lengths 6.4337, 6.4337, 6.4337 Å; angles 90.00, 90.00, 90.00 degrees
Positions (direct):
Cs 0.0000 0.0000 0.0000
K 0.5000 0.5000 0.5000
Hg 0.0000 0.5000 0.5000
Hg 0.5000 0.0000 0.5000
Hg 0.5000 0.5000 0.0000

Values from the calculation:
**Space-group type**: Pm-3m

Energy ordering: entry x at the bottom, the next structure 0.100 eV/atom above.

Entry w
A geometry-optimized Cs3KHg3 structure, computed with PBE.

Cell lengths 7.9044, 7.9044, 7.9044 Å; angles 109.37, 109.37, 109.37 degrees
Positions (direct):
Cs 0.1900 0.1900 0.6201
Cs 0.1900 0.6201 0.1900
Cs 0.6201 0.1900 0.1900
K 0.7537 0.7537 0.7537
Hg 0.1714 0.6884 0.6884
Hg 0.6884 0.1714 0.6884
Hg 0.6884 0.6884 0.1714

Values from the calculation:
**Space-group type**: R3m

Entry x
A geometry-optimized Cs3KHg3 structure, computed with PBE.

Cell lengths 10.4156, 10.4156, 10.4156 Å; angles 90.00, 90.00, 90.00 degrees
Positions (direct):
Cs 0.0000 0.2500 0.5000
Cs 0.0000 0.7500 0.5000
Cs 0.2500 0.5000 0.0000
Cs 0.5000 0.0000 0.2500
Cs 0.5000 0.0000 0.7500
Cs 0.7500 0.5000 0.0000
K 0.0000 0.0000 0.0000
K 0.5000 0.5000 0.5000
Hg 0.0000 0.5000 0.2500
Hg 0.0000 0.5000 0.7500
Hg 0.2500 0.0000 0.5000
Hg 0.5000 0.2500 0.0000
Hg 0.5000 0.7500 0.0000
Hg 0.7500 0.0000 0.5000

Values from the calculation:
**Space-group type**: Pm-3n

Energy ordering: entry w at the bottom, the next structure 0.174 eV/atom above.

Entry w
A geometry-optimized Cs2KHg4 structure, computed with PBE.

Cell lengths 10.7987, 10.7987, 10.7987 Å; angles 145.88, 145.88, 49.02 degrees
Positions (direct):
Cs 0.1305 0.1305 0.0000
Cs 0.8695 0.8695 0.0000
K 0.5000 0.5000 0.0000
Hg 0.0000 0.5000 0.5000
Hg 0.3276 0.3276 0.0000
Hg 0.5000 0.0000 0.5000
Hg 0.6724 0.6724 0.0000

Values from the calculation:
**Space-group type**: I4/mmm

Entry x
A geometry-optimized Cs2KHg4 structure, computed with PBE.

Cell lengths 10.9210, 10.9210, 6.5376 Å; angles 90.00, 90.00, 54.23 degrees
Positions (direct):
Cs 0.0365 0.3218 0.2500
Cs 0.3218 0.0365 0.7500
Cs 0.6782 0.9635 0.2500
Cs 0.9635 0.6782 0.7500
K 0.3670 0.6330 0.7500
K 0.6330 0.3670 0.2500
Hg 0.1825 0.6585 0.2500
Hg 0.3415 0.8175 0.2500
Hg 0.3474 0.3474 0.0000
Hg 0.3474 0.3474 0.5000
Hg 0.6526 0.6526 0.0000
Hg 0.6526 0.6526 0.5000
Hg 0.6585 0.1825 0.7500
Hg 0.8175 0.3415 0.7500

Values from the calculation:
**Space-group type**: Cmcm

Energy ordering: entry x at the bottom, the next structure 0.128 eV/atom above.

Entry w
A geometry-optimized Cs2KHg6 structure, computed with PBE.

Cell lengths 9.4026, 9.4026, 4.7703 Å; angles 90.00, 90.00, 120.00 degrees
Positions (direct):
Cs 0.3333 0.6667 0.0000
Cs 0.6667 0.3333 0.0000
K 0.0000 0.0000 0.0000
Hg 0.0000 0.3290 0.5000
Hg 0.0000 0.6710 0.5000
Hg 0.3290 0.0000 0.5000
Hg 0.3290 0.3290 0.5000
Hg 0.6710 0.0000 0.5000
Hg 0.6710 0.6710 0.5000

Values from the calculation:
**Space-group type**: P6/mmm

Entry x
A geometry-optimized Cs2KHg6 structure, computed with PBE.

Cell lengths 10.5002, 10.5002, 10.5002 Å; angles 157.04, 125.96, 59.47 degrees
Positions (direct):
Cs 0.1591 0.1591 0.0000
Cs 0.8409 0.8409 0.0000
K 0.5000 0.0000 0.5000
Hg 0.1718 0.5000 0.6718
Hg 0.1888 0.3498 0.8389
Hg 0.4891 0.6502 0.8389
Hg 0.5109 0.3498 0.1611
Hg 0.8112 0.6502 0.1611
Hg 0.8282 0.5000 0.3282

Values from the calculation:
**Space-group type**: Immm

Energy ordering: entry w at the bottom, the next structure 0.038 eV/atom above.

Entry w
A geometry-optimized Cs3KHg structure, computed with PBE.

Cell lengths 8.5875, 8.5875, 8.5875 Å; angles 90.00, 90.00, 90.00 degrees
Positions (direct):
Cs 0.0000 0.0000 0.5000
Cs 0.0000 0.5000 0.0000
Cs 0.5000 0.0000 0.0000
K 0.0000 0.0000 0.0000
Hg 0.5000 0.5000 0.5000

Values from the calculation:
**Space-group type**: Pm-3m

Entry x
A geometry-optimized Cs3KHg structure, computed with PBE.

Cell lengths 16.3871, 16.3871, 5.7702 Å; angles 90.00, 90.00, 90.00 degrees
Positions (direct):
Cs 0.0086 0.3162 0.0000
Cs 0.1006 0.8994 0.5000
Cs 0.1838 0.5086 0.5000
Cs 0.3162 0.0086 0.0000
Cs 0.3994 0.3994 0.0000
Cs 0.4914 0.8162 0.5000
Cs 0.5086 0.1838 0.5000
Cs 0.6006 0.6006 0.0000
Cs 0.6838 0.9914 0.0000
Cs 0.8162 0.4914 0.5000
Cs 0.8994 0.1006 0.5000
Cs 0.9914 0.6838 0.0000
K 0.1902 0.1902 0.5000
K 0.3098 0.6902 0.0000
K 0.6902 0.3098 0.0000
K 0.8098 0.8098 0.5000
Hg 0.0714 0.0714 0.0000
Hg 0.4286 0.5714 0.5000
Hg 0.5714 0.4286 0.5000
Hg 0.9286 0.9286 0.0000

Values from the calculation:
**Space-group type**: P4_2/mnm

Energy ordering: entry x at the bottom, the next structure 0.257 eV/atom above.

Entry w
A geometry-optimized Cs4K5Hg2 structure, computed with PBE.

Cell lengths 11.9244, 5.0457, 13.2889 Å; angles 90.00, 94.23, 90.00 degrees
Positions (direct):
Cs 0.1741 0.0000 0.3223
Cs 0.2023 0.0000 0.9552
Cs 0.7977 0.0000 0.0448
Cs 0.8259 0.0000 0.6777
K 0.1598 0.5000 0.6456
K 0.4835 0.5000 0.1711
K 0.5000 0.5000 0.5000
K 0.5165 0.5000 0.8289
K 0.8402 0.5000 0.3544
Hg 0.0336 0.5000 0.1187
Hg 0.9664 0.5000 0.8813

Values from the calculation:
**Space-group type**: P2/m

Entry x
A geometry-optimized Cs4K5Hg2 structure, computed with PBE.

Cell lengths 9.4628, 5.4606, 15.8580 Å; angles 90.00, 91.57, 90.00 degrees
Positions (direct):
Cs 0.1429 0.0000 0.3708
Cs 0.2812 0.0000 0.8600
Cs 0.7188 0.0000 0.1400
Cs 0.8571 0.0000 0.6292
K 0.0000 0.5000 0.0000
K 0.3303 0.5000 0.1619
K 0.3326 0.5000 0.6121
K 0.6674 0.5000 0.3879
K 0.6697 0.5000 0.8381
Hg 0.0406 0.5000 0.7670
Hg 0.9594 0.5000 0.2330

Values from the calculation:
**Space-group type**: P2/m

Energy ordering: entry w at the bottom, the next structure 0.017 eV/atom above.

Entry w
A geometry-optimized CsK2MgHg structure, computed with PBE.

Cell lengths 7.1310, 7.1310, 5.5039 Å; angles 90.00, 90.00, 90.00 degrees
Positions (direct):
Cs 0.0000 0.0000 0.0000
K 0.0000 0.5000 0.5000
K 0.5000 0.0000 0.5000
Mg 0.5000 0.5000 0.5000
Hg 0.5000 0.5000 0.0000

Values from the calculation:
**Space-group type**: P4/mmm

Entry x
A geometry-optimized CsK2MgHg structure, computed with PBE.

Cell lengths 6.9230, 6.9230, 5.5385 Å; angles 90.00, 90.00, 90.00 degrees
Positions (direct):
Cs 0.0000 0.0000 0.0000
K 0.0000 0.5000 0.5000
K 0.5000 0.0000 0.5000
Mg 0.5000 0.5000 0.0000
Hg 0.5000 0.5000 0.5000

Values from the calculation:
**Space-group type**: P4/mmm

Energy ordering: entry x at the bottom, the next structure 0.068 eV/atom above.

Entry w
A geometry-optimized Cs2KNaHg structure, computed with PBE.

Cell lengths 7.8484, 7.8484, 5.9278 Å; angles 90.00, 90.00, 90.00 degrees
Positions (direct):
Cs 0.0000 0.5000 0.0000
Cs 0.5000 0.0000 0.0000
K 0.0000 0.0000 0.5000
Na 0.5000 0.5000 0.0000
Hg 0.5000 0.5000 0.5000

Values from the calculation:
**Space-group type**: P4/mmm

Entry x
A geometry-optimized Cs2KNaHg structure, computed with PBE.

Cell lengths 7.4344, 7.4344, 6.2423 Å; angles 90.00, 90.00, 90.00 degrees
Positions (direct):
Cs 0.0000 0.5000 0.0000
Cs 0.5000 0.0000 0.0000
K 0.0000 0.0000 0.5000
Na 0.5000 0.5000 0.5000
Hg 0.5000 0.5000 0.0000

Values from the calculation:
**Space-group type**: P4/mmm

Energy ordering: entry x at the bottom, the next structure 0.088 eV/atom above.

Entry w
A geometry-optimized Cs2KHgPb structure, computed with PBE.

Cell lengths 7.8460, 7.8460, 5.6651 Å; angles 90.00, 90.00, 90.00 degrees
Positions (direct):
Cs 0.0000 0.5000 0.0000
Cs 0.5000 0.0000 0.0000
K 0.0000 0.0000 0.5000
Hg 0.5000 0.5000 0.5000
Pb 0.5000 0.5000 0.0000

Values from the calculation:
**Space-group type**: P4/mmm

Entry x
A geometry-optimized Cs2KHgPb structure, computed with PBE.

Cell lengths 7.1819, 7.1819, 6.0344 Å; angles 90.00, 90.00, 90.00 degrees
Positions (direct):
Cs 0.0000 0.5000 0.0000
Cs 0.5000 0.0000 0.0000
K 0.0000 0.0000 0.5000
Hg 0.5000 0.5000 0.0000
Pb 0.5000 0.5000 0.5000

Values from the calculation:
**Space-group type**: P4/mmm

Energy ordering: entry x at the bottom, the next structure 0.052 eV/atom above.

Entry w
A geometry-optimized CsKHg2Pd structure, computed with PBE.

Cell lengths 5.5334, 5.5334, 6.1400 Å; angles 90.00, 90.00, 90.00 degrees
Positions (direct):
Cs 0.0000 0.0000 0.0000
K 0.5000 0.5000 0.0000
Hg 0.0000 0.5000 0.5000
Hg 0.5000 0.0000 0.5000
Pd 0.0000 0.0000 0.5000

Values from the calculation:
**Space-group type**: P4/mmm

Entry x
A geometry-optimized CsKHg2Pd structure, computed with PBE.

Cell lengths 5.5504, 5.5504, 5.8504 Å; angles 90.00, 90.00, 90.00 degrees
Positions (direct):
Cs 0.0000 0.0000 0.0000
K 0.5000 0.5000 0.0000
Hg 0.0000 0.5000 0.5000
Hg 0.5000 0.0000 0.5000
Pd 0.5000 0.5000 0.5000

Values from the calculation:
**Space-group type**: P4/mmm

Energy ordering: entry x at the bottom, the next structure 0.084 eV/atom above.